Record 1
Entry from Alexandria via LeMat-Bulk: an optimized crystal structure of LiHoTlIn (PBE-GGA).

Cell: 7.272 7.272 7.272 Å, 90.00 90.00 90.00°
Atoms (fractional coordinates):
Li (0.000, 0.000, 0.000)
Li (0.000, 0.500, 0.500)
Li (0.500, 0.000, 0.500)
Li (0.500, 0.500, 0.000)
Ho (0.000, 0.000, 0.500)
Ho (0.000, 0.500, 0.000)
Ho (0.500, 0.000, 0.000)
Ho (0.500, 0.500, 0.500)
Tl (0.250, 0.250, 0.250)
Tl (0.250, 0.750, 0.750)
Tl (0.750, 0.250, 0.750)
Tl (0.750, 0.750, 0.250)
In (0.250, 0.250, 0.750)
In (0.250, 0.750, 0.250)
In (0.750, 0.250, 0.250)
In (0.750, 0.750, 0.750)

Results
E_form, meV/atom: -338

Record 2
Entry from Alexandria via LeMat-Bulk: an optimized crystal structure of Sr2CeHfAs4 (PBE-GGA).

Cell: 7.234 4.183 7.492 Å, 90.00 108.66 90.00°
Atoms (fractional coordinates):
Sr (0.000, 0.000, 0.000)
Sr (0.500, 0.500, 0.000)
Ce (0.000, 0.500, 0.500)
Hf (0.500, 0.000, 0.500)
As (0.253, 0.000, 0.716)
As (0.274, 0.500, 0.288)
As (0.726, 0.500, 0.712)
As (0.747, 0.000, 0.284)

Results
E_form, meV/atom: -1193

Record 3
Entry from Alexandria via LeMat-Bulk: an optimized crystal structure of AcPrNd4 (PBE-GGA).

Cell: 8.835 8.835 5.829 Å, 90.00 90.00 103.06°
Atoms (fractional coordinates):
Ac (0.181, 0.819, 0.750)
Ac (0.819, 0.181, 0.250)
Pr (0.442, 0.558, 0.750)
Pr (0.558, 0.442, 0.250)
Nd (0.107, 0.233, 0.750)
Nd (0.156, 0.512, 0.250)
Nd (0.233, 0.107, 0.250)
Nd (0.488, 0.844, 0.250)
Nd (0.512, 0.156, 0.750)
Nd (0.767, 0.893, 0.750)
Nd (0.844, 0.488, 0.750)
Nd (0.893, 0.767, 0.250)

Results
Polymorph energy (0 for the lowest one), meV/atom: 0
E_form, meV/atom: 41

Record 4
Entry from Alexandria via LeMat-Bulk: an optimized crystal structure of NaLiO2 (PBE-GGA).

Cell: 5.465 5.465 5.465 Å, 90.00 90.00 90.00°
Atoms (fractional coordinates):
Na (0.000, 0.000, 0.000)
Na (0.000, 0.500, 0.500)
Na (0.500, 0.000, 0.500)
Na (0.500, 0.500, 0.000)
Li (0.000, 0.000, 0.500)
Li (0.000, 0.500, 0.000)
Li (0.500, 0.000, 0.000)
Li (0.500, 0.500, 0.500)
O (0.250, 0.250, 0.250)
O (0.250, 0.250, 0.750)
O (0.250, 0.750, 0.250)
O (0.250, 0.750, 0.750)
O (0.750, 0.250, 0.250)
O (0.750, 0.250, 0.750)
O (0.750, 0.750, 0.250)
O (0.750, 0.750, 0.750)

Results
Formation energy (no corrections), eV per atom: -0.7969
Polymorph energy (0 for the lowest one), meV/atom: 345

Record 5
Entry from Alexandria via LeMat-Bulk: an optimized crystal structure of KTaTi2Cl (PBE-GGA).

Cell: 4.606 4.606 5.113 Å, 90.00 90.00 90.00°
Atoms (fractional coordinates):
K (0.000, 0.000, 0.000)
Ta (0.000, 0.000, 0.500)
Ti (0.000, 0.500, 0.000)
Ti (0.500, 0.000, 0.000)
Cl (0.500, 0.500, 0.500)

Results
Formation energy (no corrections), eV per atom: 2.5412
Polymorph energy (0 for the lowest one), meV/atom: 1621

Record 6
Entry from Alexandria via LeMat-Bulk: an optimized crystal structure of AcPr2C2N6 (PBE-GGA).

Cell: 5.994 5.994 5.257 Å, 90.00 90.00 120.00°
Atoms (fractional coordinates):
Ac (0.000, 0.000, 0.000)
Pr (0.333, 0.667, 0.284)
Pr (0.667, 0.333, 0.716)
C (0.333, 0.667, 0.769)
C (0.667, 0.333, 0.231)
N (0.124, 0.424, 0.762)
N (0.300, 0.876, 0.762)
N (0.424, 0.300, 0.238)
N (0.576, 0.700, 0.762)
N (0.700, 0.124, 0.238)
N (0.876, 0.576, 0.238)

Results
Formation energy (no corrections), eV per atom: -0.5999

Record 7
Entry from Alexandria via LeMat-Bulk: an optimized crystal structure of Ce2SnSb (PBE-GGA).

Cell: 7.690 7.690 7.690 Å, 90.00 90.00 90.00°
Atoms (fractional coordinates):
Ce (0.250, 0.250, 0.250)
Ce (0.250, 0.250, 0.750)
Ce (0.250, 0.750, 0.250)
Ce (0.250, 0.750, 0.750)
Ce (0.750, 0.250, 0.250)
Ce (0.750, 0.250, 0.750)
Ce (0.750, 0.750, 0.250)
Ce (0.750, 0.750, 0.750)
Sn (0.000, 0.000, 0.000)
Sn (0.000, 0.500, 0.500)
Sn (0.500, 0.000, 0.500)
Sn (0.500, 0.500, 0.000)
Sb (0.000, 0.000, 0.500)
Sb (0.000, 0.500, 0.000)
Sb (0.500, 0.000, 0.000)
Sb (0.500, 0.500, 0.500)

Results
Formation energy (no corrections), eV per atom: -0.6463
Polymorph energy (0 for the lowest one), meV/atom: 152

Record 8
Entry from Alexandria via LeMat-Bulk: an optimized crystal structure of Cs3Ac2TmO6 (PBE-GGA).

Cell: 6.536 6.536 7.288 Å, 98.50 98.50 120.04°
Atoms (fractional coordinates):
Cs (0.000, 0.000, 0.000)
Cs (0.337, 0.663, 0.000)
Cs (0.663, 0.337, 0.000)
Ac (0.167, 0.833, 0.500)
Ac (0.833, 0.167, 0.500)
Tm (0.500, 0.500, 0.500)
O (0.136, 0.444, 0.331)
O (0.249, 0.249, 0.671)
O (0.444, 0.136, 0.331)
O (0.556, 0.864, 0.669)
O (0.751, 0.751, 0.329)
O (0.864, 0.556, 0.669)

Results
Formation energy (no corrections), eV per atom: -2.5356

Record 9
Entry from Alexandria via LeMat-Bulk: an optimized crystal structure of AsRuBr (PBE-GGA).

Cell: 6.138 6.138 6.138 Å, 90.00 90.00 90.00°
Atoms (fractional coordinates):
As (0.000, 0.000, 0.000)
As (0.000, 0.500, 0.500)
As (0.500, 0.000, 0.500)
As (0.500, 0.500, 0.000)
Ru (0.250, 0.250, 0.750)
Ru (0.250, 0.750, 0.250)
Ru (0.750, 0.250, 0.250)
Ru (0.750, 0.750, 0.750)
Br (0.000, 0.000, 0.500)
Br (0.000, 0.500, 0.000)
Br (0.500, 0.000, 0.000)
Br (0.500, 0.500, 0.500)

Results
Formation energy (no corrections), eV per atom: 0.2164
Polymorph energy (0 for the lowest one), meV/atom: 278

Record 10
Entry from Alexandria via LeMat-Bulk: an optimized crystal structure of CsScSe2 (PBE-GGA).

Cell: 4.056 4.056 8.413 Å, 90.00 90.00 120.00°
Atoms (fractional coordinates):
Cs (0.000, 0.000, 0.000)
Sc (0.000, 0.000, 0.500)
Se (0.333, 0.667, 0.324)
Se (0.667, 0.333, 0.676)

Results
Formation energy (no corrections), eV per atom: -1.5457

Record 11
Entry from Alexandria via LeMat-Bulk: an optimized crystal structure of Ti2MnAgBi (PBE-GGA).

Cell: 4.988 4.988 5.388 Å, 90.00 90.00 90.00°
Atoms (fractional coordinates):
Ti (0.000, 0.500, 0.000)
Ti (0.500, 0.000, 0.000)
Mn (0.000, 0.000, 0.500)
Ag (0.500, 0.500, 0.000)
Bi (0.500, 0.500, 0.500)

Results
E_form, meV/atom: 1222

Record 12
Entry from Alexandria via LeMat-Bulk: an optimized crystal structure of NdHfNi10 (PBE-GGA).

Cell: 3.967 4.832 8.400 Å, 90.00 90.00 90.00°
Atoms (fractional coordinates):
Nd (0.000, 0.000, 0.000)
Hf (0.000, 0.500, 0.500)
Ni (0.000, 0.000, 0.343)
Ni (0.000, 0.000, 0.657)
Ni (0.000, 0.500, 0.181)
Ni (0.000, 0.500, 0.819)
Ni (0.500, 0.000, 0.500)
Ni (0.500, 0.256, 0.260)
Ni (0.500, 0.256, 0.740)
Ni (0.500, 0.500, 0.000)
Ni (0.500, 0.744, 0.260)
Ni (0.500, 0.744, 0.740)

Results
E_form, meV/atom: -281